Density functional theory data (PBE with a Hubbard U) for an optimized crystal structure of CrAgBr2O.

For the total energy, the calculation gives -16.03 eV per cell.

The structure belongs to space group P4/mmm (No. 123); the cell edges are 5.018, 5.018 and 5.786 Å and the angles 90.00°, 90.00° and 90.00°. The inequivalent atoms are Cr at (0.000, 0.000, 0.000), Ag at (0.000, 0.000, 0.500), Br at (0.000, 0.500, 0.000) and O at (0.500, 0.500, 0.500).